(1)
The following is a GGA-PBE calculation of a geometry-optimized Nd2Er2Au3 structure, from the Alexandria database.

abc: 7.828 7.828 7.828
angles: 109.47 109.47 109.47
Positions (direct):
Nd  0.500  0.353  0.500
Nd  0.000  0.000  0.353
Nd  0.647  0.147  0.147
Nd  0.853  0.500  0.000
Er  0.000  0.000  0.865
Er  0.500  0.865  0.500
Er  0.135  0.635  0.635
Er  0.365  0.500  0.000
Au  0.750  0.641  0.391
Au  0.250  0.859  0.109
Au  0.609  0.750  0.859
Au  0.891  0.250  0.641
Au  0.359  0.109  0.750
Au  0.141  0.391  0.250

Values from the calculation:
For the density of states at the Fermi level, the calculation gives 16.7 states/eV/cell. As for the energy: -4.712 eV per atom.

(2)
The following is a GGA-PBE calculation of a geometry-optimized CuSbRh2 structure, from the Alexandria database.

abc: 8.581 8.581 8.581
angles: 20.18 20.18 20.18
Positions (direct):
Cu  0.747  0.747  0.747
Rh  0.002  0.002  0.002
Rh  0.250  0.250  0.250
Sb  0.501  0.501  0.501

Values from the calculation:
For the density of states at the Fermi level, the calculation gives 3.6 states/eV/cell. Its energy above the most stable polymorph in this dataset is 2.28 eV per formula unit. For the uncorrected formation energy, the calculation gives 0.266 eV/atom.